# 1
A relaxed structure of ScTlTe2O8. Source: Alexandria via LeMat-Bulk, functional PBE.

Results
Formation energy without anion corrections: -1365.0 meV/atom
E: -0.4350 Ry per atom
Total moment: 0.00 μB per formula unit

Cell: 4.9287 4.9326 6.7108 Å, 90.00 90.00 87.86°
With the nearest neighbours (Å) after each atom.
Element x y z (fractional)
O 0.6855 0.6849 0.0000  2 Te 2.10, 1 Sc 2.24
O 0.7956 0.2040 0.7653  1 Te 2.02, 1 Sc 2.11, 1 Tl 2.26
O 0.7955 0.2040 0.2347  1 Te 2.02, 1 Sc 2.11, 1 Tl 2.26
O 0.6751 0.6744 0.5000  2 Te 2.12, 1 Tl 2.31
O 0.2044 0.7960 0.2347  1 Te 2.02, 1 Sc 2.11, 1 Tl 2.26
O 0.2045 0.7960 0.7653  1 Te 2.02, 1 Sc 2.11, 1 Tl 2.26
O 0.3249 0.3256 0.5000  2 Te 2.12, 1 Tl 2.31
O 0.3145 0.3151 0.0000  2 Te 2.10, 1 Sc 2.24
Te 0.5000 0.5000 0.7552  6 O 2.02-2.12
Te 0.5000 0.5000 0.2448  6 O 2.02-2.12
Tl 0.0000 0.0000 0.5000  6 O 2.26-2.31
Sc 0.0000 0.0000 0.0000  6 O 2.11-2.24


# 2
A relaxed structure of ScTl2Te2O6. Source: Alexandria via LeMat-Bulk, functional PBE.

Results
Formation energy without anion corrections: -1319.7 meV/atom
E: -0.4117 Ry per atom
Total moment: 0.00 μB per formula unit

Cell: 6.8691 5.9195 6.2948 Å, 106.11 90.00 125.47°
With the nearest neighbours (Å) after each atom.
Element x y z (fractional)
O 0.2684 0.9488 0.7307  1 Te 2.04, 1 Sc 2.10
O 0.6804 0.9488 0.7307  1 Te 2.04, 1 Sc 2.10
O 0.7316 0.0512 0.2693  1 Te 2.04, 1 Sc 2.10
O 0.2565 0.5130 0.3278  1 Te 1.88
O 0.7435 0.4870 0.6722  1 Te 1.88
O 0.3196 0.0512 0.2693  1 Te 2.04, 1 Sc 2.10
Tl 0.3142 0.6284 0.8945  2 O 2.56
Tl 0.6858 0.3716 0.1055  2 O 2.56
Te 0.9488 0.8977 0.7329  3 O 1.88-2.04
Te 0.0512 0.1023 0.2671  3 O 1.88-2.04
Sc 0.5000 0.0000 0.5000  6 O 2.10-2.23


# 3
A relaxed structure of ScTl3Te2O8. Source: Alexandria via LeMat-Bulk, functional PBE.

Results
Formation energy without anion corrections: -1219.4 meV/atom
E: -0.4014 Ry per atom
Total moment: 0.00 μB per formula unit

Cell: 6.2635 6.2635 7.7656 Å, 90.00 90.00 120.00°
With the nearest neighbours (Å) after each atom.
Element x y z (fractional)
Tl 0.3333 0.6667 0.7571  1 O 2.38
Tl 0.0000 0.0000 0.0000  6 O 3.06
Tl 0.6667 0.3333 0.2429  1 O 2.38
O 0.3333 0.6667 0.0635  1 Te 1.86
O 0.3082 0.1541 0.6701  1 Te 1.96, 1 Sc 2.13
O 0.6918 0.8459 0.3299  1 Te 1.96, 1 Sc 2.13
O 0.6667 0.3333 0.9365  1 Te 1.86
O 0.8459 0.1541 0.6701  1 Te 1.96, 1 Sc 2.13
O 0.1541 0.3082 0.3299  1 Te 1.96, 1 Sc 2.13
O 0.8459 0.6918 0.6701  1 Te 1.96, 1 Sc 2.13
O 0.1541 0.8459 0.3299  1 Te 1.96, 1 Sc 2.13
Te 0.3333 0.6667 0.3028  4 O 1.86-1.96
Te 0.6667 0.3333 0.6972  4 O 1.86-1.96
Sc 0.0000 0.0000 0.5000  6 O 2.13


# 4
A relaxed structure of ScTl2Te3O12. Source: Alexandria via LeMat-Bulk, functional PBE.

Results
Formation energy without anion corrections: -1224.5 meV/atom
E: -0.4166 Ry per atom
Total moment: 1.03 μB per formula unit

Cell: 7.3869 7.3869 7.3869 Å, 59.66 59.66 59.66°
With the nearest neighbours (Å) after each atom.
Element x y z (fractional)
O 0.3379 0.9279 0.9279  1 Te 1.89, 1 Sc 2.10
O 0.9248 0.3207 0.3207  2 Te 1.98
O 0.6793 0.0752 0.6793  2 Te 1.98
O 0.9279 0.3379 0.9279  1 Te 1.89, 1 Sc 2.10
O 0.3207 0.3207 0.9248  2 Te 1.98
O 0.9279 0.9279 0.3379  1 Te 1.89, 1 Sc 2.10
O 0.0721 0.6621 0.0721  1 Te 1.89, 1 Sc 2.10
O 0.6621 0.0721 0.0721  1 Te 1.89, 1 Sc 2.10
O 0.6793 0.6793 0.0752  2 Te 1.98
O 0.3207 0.9248 0.3207  2 Te 1.98
O 0.0721 0.0721 0.6621  1 Te 1.89, 1 Sc 2.10
O 0.0752 0.6793 0.6793  2 Te 1.98
Te 0.0000 0.5000 0.0000  6 O 1.89-1.98
Te 0.5000 0.0000 0.0000  6 O 1.89-1.98
Te 0.0000 0.0000 0.5000  6 O 1.89-1.98
Tl 0.6384 0.6384 0.6384  6 O 3.02-3.32
Tl 0.3616 0.3616 0.3616  6 O 3.02-3.32
Sc 0.0000 0.0000 0.0000  6 O 2.10


# 5
A relaxed structure of TmScTeO2. Source: Alexandria via LeMat-Bulk, functional PBE.

Results
Formation energy without anion corrections: -2891.6 meV/atom
E: -0.5633 Ry per atom
Total moment: 0.00 μB per formula unit

Cell: 3.9728 6.5938 7.4151 Å, 107.52 90.00 90.00°
With the nearest neighbours (Å) after each atom.
Element x y z (fractional)
Sc 0.7500 0.3543 0.5880  4 O 2.07-2.15
Sc 0.2500 0.6457 0.4120  4 O 2.07-2.15
Tm 0.2500 0.6737 0.9257  4 O 2.21-2.27
Tm 0.7500 0.3263 0.0743  4 O 2.21-2.27
O 0.2500 0.4859 0.6142  3 Sc 2.08-2.15, 1 Tm 2.27
O 0.7500 0.5141 0.3858  3 Sc 2.08-2.15, 1 Tm 2.27
O 0.2500 0.4792 0.1266  1 Sc 2.07, 3 Tm 2.21-2.24
O 0.7500 0.5208 0.8734  1 Sc 2.07, 3 Tm 2.21-2.24
Te 0.2500 0.0429 0.7469  3 Sc 3.02-3.32, 3 Tm 3.10-3.26, 2 O 3.35-3.37
Te 0.7500 0.9571 0.2531  3 Sc 3.02-3.32, 3 Tm 3.10-3.26, 2 O 3.35-3.37


# 6
A relaxed structure of TmScTeO6. Source: Alexandria via LeMat-Bulk, functional PBE.

Results
Formation energy without anion corrections: -2389.3 meV/atom
E: -0.5324 Ry per atom
Total moment: 0.00 μB per formula unit

Cell: 5.4143 5.4143 8.9984 Å, 90.00 90.00 120.00°
With the nearest neighbours (Å) after each atom.
Element x y z (fractional)
Te 0.6667 0.3333 0.2500  6 O 1.96
Te 0.3333 0.6667 0.7500  6 O 1.96
O 0.3590 0.3203 0.3707  1 Te 1.96, 1 Sc 2.18
O 0.3203 0.3590 0.8707  1 Te 1.96, 1 Sc 2.18
O 0.6797 0.0387 0.3707  1 Te 1.96, 1 Sc 2.18
O 0.6410 0.9613 0.8707  1 Te 1.96, 1 Sc 2.18
O 0.0387 0.6797 0.8707  1 Te 1.96, 1 Sc 2.18
O 0.3203 0.9613 0.6293  1 Te 1.96, 1 Sc 2.18
O 0.0387 0.3590 0.6293  1 Te 1.96, 1 Sc 2.18
O 0.9613 0.6410 0.3707  1 Te 1.96, 1 Sc 2.18
O 0.9613 0.3203 0.1293  1 Te 1.96, 1 Sc 2.18
O 0.6410 0.6797 0.6293  1 Te 1.96, 1 Sc 2.18
O 0.6797 0.6410 0.1293  1 Te 1.96, 1 Sc 2.18
O 0.3590 0.0387 0.1293  1 Te 1.96, 1 Sc 2.18
Tm 0.6667 0.3333 0.7500  6 O 2.23
Tm 0.3333 0.6667 0.2500  6 O 2.23
Sc 0.0000 0.0000 0.5000  6 O 2.18
Sc 0.0000 0.0000 0.0000  6 O 2.18